(1)
The following is a meta-GGA SCAN calculation of a crystal of CsAgAu3 relaxed with PBEsol, from Alexandria.

```
CsAgAu3
1.0
-0.2434 -3.0824 4.1416
0.9304 -4.1045 -3.0001
5.0782 0.6042 0.7481
Cs Au Ag
1 3 1
direct
0.5000 0.5000 0.5000 Cs
0.0000 0.5000 0.0000 Au
0.5000 0.0000 0.0000 Au
0.0000 0.0000 0.5000 Au
0.0000 0.0000 0.0000 Ag
```

Properties
**Energy of formation**: 126 meV/atom

=====

(2)
The following is a meta-GGA SCAN calculation of a crystal of Cs2AgAuF6 relaxed with PBEsol, from Alexandria.

```
Cs2AgAuF6
1.0
6.2626 0.0000 0.0000
3.1313 5.4236 0.0000
3.1313 1.8079 5.1134
F Au Cs Ag
6 1 2 1
direct
0.7523 0.2477 0.2477 F
0.2477 0.2477 0.7523 F
0.2477 0.7523 0.7523 F
0.7523 0.2477 0.7523 F
0.2477 0.7523 0.2477 F
0.7523 0.7523 0.2477 F
0.0000 0.0000 0.0000 Au
0.7500 0.7500 0.7500 Cs
0.2500 0.2500 0.2500 Cs
0.5000 0.5000 0.5000 Ag
```

Properties
**Energy relative to the elements, uncorrected**: -19.18 eV per formula unit

=====

(3)
The following is a meta-GGA SCAN calculation of a crystal of CuAgAu relaxed with PBEsol, from Alexandria.

```
CuAgAu
1.0
-1.9029 1.5159 1.2859
0.8798 -2.0717 3.7441
2.1848 3.6341 -1.0511
Cu Au Ag
1 1 1
direct
0.3528 0.3333 0.6667 Cu
0.6092 0.6667 0.3333 Au
0.0380 0.0000 0.0000 Ag
```

Properties
**Energy of formation**: 18 meV/atom
**Energy relative to the lowest polymorph listed for this composition**: 0.038 eV per atom